{"formula": "FeCo2ReH", "functional": "PBE", "state": "optimized geometry", "total_magnetization_mub_per_cell": 2.350, "rho_g_cm3": 12.19, "sg": "No. 123", "polymorph_energy_mev_per_atom": 63.7, "lattice": [[3.593, 0.000, 0.000], [0.000, 3.593, 0.000], [0.000, 0.000, 3.808]], "species": ["Co", "Co", "Fe", "Re", "H"], "frac_coords": [[0.000, 0.500, 0.000], [0.500, 0.000, 0.000], [0.500, 0.500, 0.500], [0.000, 0.000, 0.500], [0.000, 0.000, 0.000]]}